Arrangement one

Density functional theory data (GGA-PBE) for an optimized crystal structure of CsNF2.

a = 5.531 Å, b = 5.531 Å, c = 5.531 Å
α = 42.03°, β = 42.03°, γ = 42.03°
Last column: magnetic moment on the atom in μB.
Element x y z (fractional)
Cs  0.000  0.000  0.000  0.01
N  0.500  0.500  0.500  1.46
F  0.787  0.787  0.787  -0.02
F  0.213  0.213  0.213  -0.02


Arrangement two

Density functional theory data (GGA-PBE) for an optimized crystal structure of CsNF2.

a = 7.710 Å, b = 4.937 Å, c = 10.849 Å
α = 62.95°, β = 90.00°, γ = 90.00°
Last column: magnetic moment on the atom in μB.
Element x y z (fractional)
Cs  0.578  0.916  0.834  0.02
Cs  0.078  0.584  0.666  0.02
Cs  0.422  0.084  0.166  0.02
Cs  0.922  0.416  0.334  0.02
N  0.318  0.236  0.514  1.20
N  0.818  0.264  0.986  1.20
N  0.682  0.764  0.486  1.20
N  0.182  0.736  0.014  1.20
F  0.067  0.841  0.910  0.21
F  0.567  0.659  0.590  0.21
F  0.933  0.159  0.090  0.21
F  0.433  0.341  0.410  0.21
F  0.132  0.884  0.366  0.11
F  0.632  0.616  0.134  0.11
F  0.868  0.116  0.634  0.11
F  0.368  0.384  0.866  0.11


Arrangement three

Density functional theory data (GGA-PBE) for an optimized crystal structure of CsNF2.

a = 6.836 Å, b = 6.836 Å, c = 6.836 Å
α = 39.08°, β = 39.08°, γ = 39.08°
Last column: magnetic moment on the atom in μB.
Element x y z (fractional)
Cs  0.500  0.500  0.500  0.00
N  0.000  0.000  0.000  1.26
F  0.908  0.908  0.908  0.09
F  0.092  0.092  0.092  0.09


Arrangement four

Density functional theory data (GGA-PBE) for an optimized crystal structure of CsNF2.

a = 5.124 Å, b = 5.124 Å, c = 7.295 Å
α = 69.44°, β = 69.44°, γ = 90.00°
Last column: magnetic moment on the atom in μB.
Element x y z (fractional)
Cs  0.000  0.000  0.000  0.00
Cs  0.750  0.250  0.500  0.00
N  0.500  0.500  0.000  1.33
N  0.250  0.750  0.500  1.33
F  0.446  0.125  0.250  0.08
F  0.304  0.625  0.250  0.08
F  0.375  0.554  0.750  0.05
F  0.875  0.696  0.750  0.05


The winner here is arrangement two, beating the second structure by 134 meV/atom.


Arrangement one

Density functional theory data (GGA-PBE) for an optimized crystal structure of CsNF4.

a = 7.417 Å, b = 4.619 Å, c = 7.059 Å
α = 90.00°, β = 90.00°, γ = 90.00°
Element x y z (fractional)
Cs  0.031  0.162  0.000
Cs  0.531  0.838  0.500
N  0.440  0.360  0.000
N  0.940  0.640  0.500
F  0.483  0.652  0.000
F  0.608  0.229  0.000
F  0.405  0.333  0.737
F  0.905  0.667  0.763
F  0.108  0.771  0.500
F  0.983  0.348  0.500
F  0.905  0.667  0.237
F  0.405  0.333  0.263


Arrangement two

Density functional theory data (GGA-PBE) for an optimized crystal structure of CsNF4.

a = 5.238 Å, b = 6.139 Å, c = 7.749 Å
α = 101.97°, β = 90.00°, γ = 90.00°
Last column: magnetic moment on the atom in μB.
Element x y z (fractional)
Cs  0.500  0.500  0.000  0.00
Cs  0.000  0.000  0.500  0.00
N  0.000  0.000  0.000  0.76
N  0.500  0.500  0.500  0.76
F  0.010  0.220  0.909  0.21
F  0.510  0.280  0.591  0.21
F  0.990  0.780  0.091  0.21
F  0.490  0.720  0.409  0.21
F  0.773  0.895  0.864  0.25
F  0.273  0.605  0.636  0.25
F  0.227  0.105  0.136  0.25
F  0.727  0.395  0.364  0.25


The winner here is arrangement one, beating the second structure by 350 meV/atom.


Arrangement one

Density functional theory data (GGA-PBE) for an optimized crystal structure of CsNbN2F.

a = 4.156 Å, b = 4.156 Å, c = 4.678 Å
α = 90.00°, β = 90.00°, γ = 90.00°
Last column: magnetic moment on the atom in μB.
Element x y z (fractional)
Cs  0.500  0.500  0.500  0.02
Nb  0.000  0.000  0.000  -0.21
N  0.000  0.500  0.000  0.39
N  0.500  0.000  0.000  0.39
F  0.000  0.000  0.500  0.00


Arrangement two

Density functional theory data (GGA-PBE) for an optimized crystal structure of CsNbN2F.

a = 4.404 Å, b = 4.404 Å, c = 4.750 Å
α = 90.00°, β = 90.00°, γ = 90.00°
Element x y z (fractional)
Cs  0.000  0.000  0.000
Nb  0.500  0.500  0.500
N  0.000  0.500  0.000
N  0.500  0.000  0.000
F  0.000  0.000  0.500


The winner here is arrangement one, beating the second structure by 2991 meV/atom.


Arrangement one

Density functional theory data (GGA-PBE) for an optimized crystal structure of CsReNF2.

a = 4.568 Å, b = 4.568 Å, c = 3.842 Å
α = 90.00°, β = 90.00°, γ = 90.00°
Last column: magnetic moment on the atom in μB.
Element x y z (fractional)
Cs  0.500  0.500  0.500  0.00
Re  0.000  0.000  0.000  0.70
N  0.000  0.000  0.500  0.01
F  0.000  0.500  0.000  0.01
F  0.500  0.000  0.000  0.01


Arrangement two

Density functional theory data (GGA-PBE) for an optimized crystal structure of CsReNF2.

a = 5.202 Å, b = 5.202 Å, c = 4.764 Å
α = 90.00°, β = 90.00°, γ = 90.00°
Last column: magnetic moment on the atom in μB.
Element x y z (fractional)
Cs  0.000  0.000  0.000  -0.12
Re  0.500  0.500  0.500  4.49
N  0.000  0.000  0.500  -1.08
F  0.000  0.500  0.000  0.03
F  0.500  0.000  0.000  0.03


The winner here is arrangement one, beating the second structure by 2311 meV/atom.